{
  "formula": "Ba2MnPt",
  "functional": "GGA-PBEsol",
  "state": "relaxed",
  "volume_a3_per_atom": 30.62,
  "magmom_total_mub_per_fu": 4.283,
  "energy_ry_per_atom": -0.381,
  "dos_at_fermi_per_ev_fu": 2.965,
  "cell": [[3.6335, 0.0000, 0.0000], [0.0000, 3.6335, 0.0000], [0.0000, 0.0000, 9.2774]],
  "species": ["Ba", "Ba", "Mn", "Pt"],
  "fractional_positions": [[0.0000, 0.0000, 0.0000], [0.5000, 0.5000, 0.4181], [0.0000, 0.0000, 0.6753], [0.5000, 0.5000, 0.7518]]
}